[1]
Cu3Ag2 | PBE | optimized geometry

a b c (Å): 2.7825 2.7825 64.7386
angles (deg): 90.00 90.00 120.00
Closest atoms and distances in Å follow each position.
Space group R3m (No. 160, hexagonal axes)
Asymmetric unit:
Cu  0.0000  0.0000  0.0000 [3 per cell]  9 Cu 2.52-2.78, 3 Ag 2.75
Cu  0.0000  0.0000  0.0903 [3 per cell]  9 Cu 2.52-2.78, 3 Ag 2.74
Cu  0.0000  0.0000  0.1969 [3 per cell]  6 Ag 2.72, 6 Cu 2.78
Cu  0.0000  0.0000  0.3936 [3 per cell]  12 Cu 2.52-2.78
Cu  0.0000  0.0000  0.5981 [3 per cell]  6 Ag 2.72-2.73, 6 Cu 2.78
Cu  0.0000  0.0000  0.6967 [3 per cell]  12 Cu 2.52-2.78
Ag  0.0000  0.0000  0.2989 [3 per cell]  6 Cu 2.73-2.75, 6 Ag 2.78
Ag  0.0000  0.0000  0.4964 [3 per cell]  3 Cu 2.72, 9 Ag 2.78-2.97
Ag  0.0000  0.0000  0.7912 [3 per cell]  3 Cu 2.74, 9 Ag 2.78-2.97
Ag  0.0000  0.0000  0.8974 [3 per cell]  6 Cu 2.72, 6 Ag 2.78

Properties
energy above the lowest structure with this stoichiometry: 66 meV/atom
mass density: 9.33 g/cm3
electronic total energy: -0.239 Ry/atom
E_form: 2.49 kcal/mol of atoms
calculated volume: 14.5 Å³/atom

[2]
CuAg2 | PBE | optimized geometry

a b c (Å): 9.0495 3.9629 8.5069
angles (deg): 90.00 109.33 90.00
Closest atoms and distances in Å follow each position.
Space group Cm (No. 8)
Asymmetric unit:
Cu  0.0000  0.0000  0.0000 [2 per cell]  3 Cu 2.59-2.66, 7 Ag 2.79-2.90
Cu  0.0153  0.0000  0.7008 [2 per cell]  4 Cu 2.59-2.88, 7 Ag 2.69-2.89
Cu  0.3521  0.0000  0.8026 [2 per cell]  5 Cu 2.66-2.88, 7 Ag 2.71-2.88
Ag  0.0154  0.0000  0.3553 [2 per cell]  10 Ag 2.84-2.93, 2 Cu 2.94-2.98
Ag  0.1694  0.5000  0.9027 [2 per cell]  8 Cu 2.69-2.88, 4 Ag 2.73-2.82
Ag  0.1764  0.5000  0.2367 [2 per cell]  10 Ag 2.82-2.96, 2 Cu 2.90
Ag  0.1916  0.5000  0.5900 [2 per cell]  7 Ag 2.73-2.96, 5 Cu 2.75-2.89
Ag  0.3452  0.0000  0.1191 [2 per cell]  4 Cu 2.71-2.95, 7 Ag 2.81-2.88
Ag  0.3586  0.0000  0.4811 [2 per cell]  3 Cu 2.76-2.77, 9 Ag 2.83-3.04

Properties
energy above the lowest structure with this stoichiometry: 46 meV/atom
mass density: 9.67 g/cm3
electronic total energy: -0.224 Ry/atom
E_form: 1.78 kcal/mol of atoms
calculated volume: 16.0 Å³/atom

[3]
Cu3Ag7 | PBE | optimized geometry

a b c (Å): 6.3581 4.0187 6.3597
angles (deg): 90.00 90.28 90.00
Closest atoms and distances in Å follow each position.
Space group Pm (No. 6)
Asymmetric unit:
Cu  0.0000  0.0000  0.0000 [1 per cell]  3 Cu 2.62-2.74, 9 Ag 2.75-2.92
Cu  0.0890  0.5000  0.2785 [1 per cell]  8 Ag 2.66-2.89, 4 Cu 2.74
Cu  0.3679  0.0000  0.1881 [1 per cell]  3 Cu 2.62-2.74, 7 Ag 2.74-2.93
Ag  0.1859  0.0000  0.5809 [1 per cell]  4 Cu 2.76-2.92, 8 Ag 2.82-2.95
Ag  0.2807  0.5000  0.9075 [1 per cell]  5 Cu 2.66-2.75, 6 Ag 2.85-2.95
Ag  0.4771  0.5000  0.4756 [1 per cell]  3 Cu 2.76-2.80, 9 Ag 2.82-3.02
Ag  0.5876  0.0000  0.7945 [1 per cell]  10 Ag 2.82-2.96, 2 Cu 2.87-2.92
Ag  0.6981  0.5000  0.0867 [1 per cell]  5 Cu 2.76-2.98, 7 Ag 2.79-2.88
Ag  0.7897  0.0000  0.3770 [1 per cell]  4 Cu 2.75-2.93, 8 Ag 2.79-2.96
Ag  0.8905  0.5000  0.6858 [1 per cell]  9 Ag 2.83-2.94, 3 Cu 2.89-2.92

Properties
energy above the lowest structure with this stoichiometry: 43 meV/atom
mass density: 9.66 g/cm3
electronic total energy: -0.222 Ry/atom
E_form: 1.66 kcal/mol of atoms
calculated volume: 16.2 Å³/atom

[4]
Cu8Ag | PBE | optimized geometry

a b c (Å): 11.2270 2.6149 7.8958
angles (deg): 90.00 103.58 90.00
Closest atoms and distances in Å follow each position.
Space group C2/m (No. 12)
Asymmetric unit:
Cu  0.0008  0.0000  0.1615 [4 per cell]  11 Cu 2.55-2.63, 1 Ag 2.67
Cu  0.1651  0.5000  0.0528 [4 per cell]  12 Cu 2.52-2.61
Cu  0.1715  0.5000  0.7354 [4 per cell]  10 Cu 2.52-2.79, 2 Ag 2.68
Cu  0.1736  0.5000  0.3827 [4 per cell]  10 Cu 2.52-2.79, 2 Ag 2.69
Ag  0.0000  0.0000  0.5000 [2 per cell]  2 Ag 2.61, 10 Cu 2.67-2.69

Properties
energy above the lowest structure with this stoichiometry: 8 meV/atom
mass density: 9.08 g/cm3
electronic total energy: -0.263 Ry/atom
E_form: 1.03 kcal/mol of atoms
calculated volume: 12.5 Å³/atom

[5]
Cu3Ag5 | PBE | optimized geometry

a b c (Å): 12.1625 2.8188 9.4108
angles (deg): 90.00 128.68 90.00
Closest atoms and distances in Å follow each position.
Space group C2/m (No. 12)
Asymmetric unit:
Cu  0.0000  0.0000  0.0000 [2 per cell]  6 Ag 2.73-2.74, 6 Cu 2.78-2.82
Cu  0.1284  0.5000  0.8852 [4 per cell]  6 Ag 2.62-2.92, 6 Cu 2.72-2.82
Ag  0.0000  0.5000  0.5000 [2 per cell]  10 Ag 2.82-2.86, 2 Cu 2.92
Ag  0.1170  0.0000  0.3599 [4 per cell]  3 Cu 2.73-2.76, 8 Ag 2.82-2.96
Ag  0.2455  0.5000  0.2313 [4 per cell]  5 Cu 2.62-2.76, 6 Ag 2.82-2.87

Properties
energy above the lowest structure with this stoichiometry: 49 meV/atom
mass density: 9.63 g/cm3
electronic total energy: -0.226 Ry/atom
E_form: 1.99 kcal/mol of atoms
calculated volume: 15.7 Å³/atom

[6]
CuAg | PBE | optimized geometry

a b c (Å): 3.9053 3.9716 15.3995
angles (deg): 90.00 90.00 90.00
Closest atoms and distances in Å follow each position.
Space group Imm2 (No. 44)
Asymmetric unit:
Cu  0.0000  0.0000  0.0000 [2 per cell]  10 Ag 2.74-2.89, 2 Cu 2.79
Cu  0.0000  0.0000  0.2406 [2 per cell]  6 Ag 2.64-2.76, 6 Cu 2.65-2.79
Cu  0.0000  0.0000  0.7397 [2 per cell]  6 Cu 2.61-2.79, 6 Ag 2.66-2.75
Cu  0.0000  0.5000  0.1269 [2 per cell]  6 Cu 2.61-2.79, 6 Ag 2.77-2.79
Ag  0.0000  0.0000  0.4993 [2 per cell]  6 Cu 2.77-2.79, 6 Ag 2.77-2.87
Ag  0.0000  0.5000  0.3646 [2 per cell]  6 Cu 2.74-2.86, 6 Ag 2.79-2.87
Ag  0.0000  0.5000  0.6251 [2 per cell]  10 Cu 2.64-2.79, 2 Ag 2.77
Ag  0.0000  0.5000  0.8637 [2 per cell]  6 Cu 2.72-2.89, 6 Ag 2.79-2.86

Properties
mass density: 9.53 g/cm3
electronic total energy: -0.233 Ry/atom
E_form: 2.18 kcal/mol of atoms
calculated volume: 14.9 Å³/atom

[7]
Cu3Ag2 | PBE | optimized geometry

a b c (Å): 13.8710 3.8026 5.5191
angles (deg): 90.00 101.09 90.00
Closest atoms and distances in Å follow each position.
Space group C2/m (No. 12)
Asymmetric unit:
Cu  0.0000  0.0000  0.0000 [2 per cell]  6 Ag 2.68-2.69, 6 Cu 2.76-2.77
Cu  0.0000  0.0000  0.5000 [2 per cell]  4 Ag 2.65, 8 Cu 2.70-2.76
Cu  0.1023  0.5000  0.3121 [4 per cell]  7 Cu 2.64-2.77, 5 Ag 2.65-2.86
Cu  0.1991  0.0000  0.5891 [4 per cell]  6 Ag 2.62-2.90, 6 Cu 2.64-2.71
Ag  0.0925  0.5000  0.7896 [4 per cell]  9 Cu 2.65-2.86, 3 Ag 2.82-2.86
Ag  0.1977  0.0000  0.1134 [4 per cell]  7 Cu 2.62-2.90, 5 Ag 2.82-2.86

Properties
energy above the lowest structure with this stoichiometry: 53 meV/atom
mass density: 9.45 g/cm3
electronic total energy: -0.240 Ry/atom
E_form: 2.20 kcal/mol of atoms
calculated volume: 14.3 Å³/atom

[8]
Cu3Ag7 | PBE | optimized geometry

a b c (Å): 12.1809 2.8806 9.4748
angles (deg): 90.00 101.59 90.00
Closest atoms and distances in Å follow each position.
Space group C2/m (No. 12)
Asymmetric unit:
Cu  0.0000  0.0000  0.0000 [2 per cell]  6 Ag 2.74-2.77, 6 Cu 2.75-2.88
Cu  0.1004  0.5000  0.8132 [4 per cell]  8 Ag 2.68-2.97, 4 Cu 2.75-2.88
Ag  0.0000  0.5000  0.5000 [2 per cell]  10 Ag 2.84-2.88, 2 Cu 2.97
Ag  0.0883  0.0000  0.2898 [4 per cell]  3 Cu 2.72-2.74, 8 Ag 2.84-2.93
Ag  0.1949  0.5000  0.0937 [4 per cell]  5 Cu 2.68-2.86, 7 Ag 2.83-2.88
Ag  0.2013  0.0000  0.6100 [4 per cell]  10 Ag 2.84-3.07, 2 Cu 2.87

Properties
energy above the lowest structure with this stoichiometry: 50 meV/atom
mass density: 9.64 g/cm3
electronic total energy: -0.221 Ry/atom
E_form: 1.81 kcal/mol of atoms
calculated volume: 16.3 Å³/atom

[9]
Cu4Ag5 | PBE | optimized geometry

a b c (Å): 14.2932 2.8349 8.3468
angles (deg): 90.00 125.16 90.00
Closest atoms and distances in Å follow each position.
Space group C2/m (No. 12)
Asymmetric unit:
Cu  0.1721  0.0000  0.1842 [4 per cell]  5 Cu 2.63-2.83, 6 Ag 2.71-2.93
Cu  0.1779  0.0000  0.5055 [4 per cell]  7 Cu 2.55-2.83, 3 Ag 2.76-2.82
Ag  0.0000  0.5000  0.5000 [2 per cell]  8 Ag 2.80-2.83, 4 Cu 2.89
Ag  0.0065  0.5000  0.1712 [4 per cell]  6 Cu 2.71-2.93, 6 Ag 2.75-2.91
Ag  0.1717  0.0000  0.8304 [4 per cell]  4 Cu 2.71-2.95, 8 Ag 2.78-2.91

Properties
energy above the lowest structure with this stoichiometry: 58 meV/atom
mass density: 9.53 g/cm3
electronic total energy: -0.230 Ry/atom
E_form: 2.22 kcal/mol of atoms
calculated volume: 15.4 Å³/atom

[10]
Cu3Ag5 | PBE | optimized geometry

a b c (Å): 5.6927 15.4835 2.8507
angles (deg): 90.00 90.00 90.00
Closest atoms and distances in Å follow each position.
Space group Cmmm (No. 65)
Asymmetric unit:
Cu  0.0000  0.0000  0.0000 [2 per cell]  10 Ag 2.84-2.85, 2 Cu 2.85
Cu  0.0000  0.2512  0.0000 [4 per cell]  8 Ag 2.73-2.74, 4 Cu 2.85
Ag  0.0000  0.5000  0.0000 [2 per cell]  2 Cu 2.85, 10 Ag 2.85-2.87
Ag  0.2445  0.1305  0.5000 [8 per cell]  6 Cu 2.73-2.84, 6 Ag 2.78-2.91

Properties
energy above the lowest structure with this stoichiometry: 51 meV/atom
mass density: 9.65 g/cm3
electronic total energy: -0.226 Ry/atom
E_form: 2.02 kcal/mol of atoms
calculated volume: 15.7 Å³/atom

[11]
Cu4Ag3 | PBE | optimized geometry

a b c (Å): 9.0526 2.7645 8.0735
angles (deg): 90.00 94.12 90.00
Closest atoms and distances in Å follow each position.
Space group C2/m (No. 12)
Asymmetric unit:
Cu  0.0583  0.0000  0.3074 [4 per cell]  6 Cu 2.50-2.76, 3 Ag 2.71-2.73
Cu  0.1437  0.5000  0.5543 [4 per cell]  9 Cu 2.50-2.76, 2 Ag 2.69
Ag  0.0000  0.5000  0.0000 [2 per cell]  8 Ag 2.76-2.86, 4 Cu 2.86
Ag  0.2225  0.0000  0.8328 [4 per cell]  5 Cu 2.69-2.73, 5 Ag 2.76-2.86

Properties
energy above the lowest structure with this stoichiometry: 29 meV/atom
mass density: 9.52 g/cm3
electronic total energy: -0.239 Ry/atom
E_form: 1.79 kcal/mol of atoms
calculated volume: 14.4 Å³/atom

[12]
Cu2Ag7 | PBE | optimized geometry

a b c (Å): 2.9007 8.6237 11.9542
angles (deg): 90.00 90.00 90.00
Closest atoms and distances in Å follow each position.
Space group Immm (No. 71)
Asymmetric unit:
Cu  0.0000  0.1633  0.0000 [4 per cell]  9 Ag 2.75-2.90, 3 Cu 2.82-2.90
Ag  0.0000  0.1712  0.3372 [8 per cell]  2 Cu 2.82, 10 Ag 2.84-2.99
Ag  0.0000  0.5000  0.0000 [2 per cell]  10 Ag 2.84-2.90, 2 Cu 2.90
Ag  0.0000  0.5000  0.3437 [4 per cell]  4 Cu 2.75, 8 Ag 2.84-2.99

Properties
energy above the lowest structure with this stoichiometry: 33 meV/atom
mass density: 9.80 g/cm3
electronic total energy: -0.218 Ry/atom
E_form: 1.36 kcal/mol of atoms
calculated volume: 16.6 Å³/atom